First-principles (PBE-GGA) data for a relaxed structure of La4Tc, as listed in Alexandria via LeMat-Bulk.

Properties
Energy of formation from the pure elements: 0.078 eV per atom
Energy above the lowest structure with this stoichiometry: 0.67 eV per formula unit

Lattice parameters (Å, degrees): 5.588 5.588 5.588 90.00 90.00 90.00
Sites, in units of the cell vectors:
La 0.000 0.000 0.000
La 0.000 0.500 0.500
La 0.500 0.000 0.500
La 0.500 0.500 0.000
Tc 0.500 0.500 0.500

First-principles (PBE-GGA) data for a relaxed structure of KP2S2, as listed in Alexandria via LeMat-Bulk.

Properties
Energy above the lowest structure with this stoichiometry: 0.00 eV per formula unit

Lattice parameters (Å, degrees): 4.848 4.848 4.553 90.00 90.00 90.00
Sites, in units of the cell vectors:
K 0.000 0.000 0.000
P 0.500 0.500 0.000
P 0.500 0.500 0.500
S 0.000 0.500 0.500
S 0.500 0.000 0.500

First-principles (PBE-GGA) data for a relaxed structure of Ca2Pu2Ag15, as listed in Alexandria via LeMat-Bulk.

Properties
Energy of formation from the pure elements: -0.031 eV per atom

Lattice parameters (Å, degrees): 7.464 7.464 7.464 81.83 81.83 81.83
Sites, in units of the cell vectors:
Ca 0.148 0.148 0.148
Ca 0.852 0.852 0.852
Pu 0.404 0.404 0.404
Pu 0.596 0.596 0.596
Ag 0.000 0.500 0.500
Ag 0.149 0.149 0.663
Ag 0.149 0.663 0.149
Ag 0.189 0.500 0.811
Ag 0.189 0.811 0.500
Ag 0.337 0.851 0.851
Ag 0.500 0.000 0.500
Ag 0.500 0.189 0.811
Ag 0.500 0.500 0.000
Ag 0.500 0.811 0.189
Ag 0.663 0.149 0.149
Ag 0.811 0.189 0.500
Ag 0.811 0.500 0.189
Ag 0.851 0.337 0.851
Ag 0.851 0.851 0.337

First-principles (PBE-GGA) data for a relaxed structure of Li2PmPt9, as listed in Alexandria via LeMat-Bulk.

Properties
Energy of formation from the pure elements: -0.546 eV per atom

Lattice parameters (Å, degrees): 9.279 9.279 9.279 33.42 33.42 33.42
Sites, in units of the cell vectors:
Li 0.146 0.146 0.146
Li 0.854 0.854 0.854
Pm 0.000 0.000 0.000
Pt 0.082 0.588 0.588
Pt 0.333 0.333 0.333
Pt 0.412 0.412 0.918
Pt 0.412 0.918 0.412
Pt 0.500 0.500 0.500
Pt 0.588 0.082 0.588
Pt 0.588 0.588 0.082
Pt 0.667 0.667 0.667
Pt 0.918 0.412 0.412

First-principles (PBE-GGA) data for a relaxed structure of ZnGa8Cu2, as listed in Alexandria via LeMat-Bulk.

Properties
Energy of formation from the pure elements: 0.031 eV per atom

Lattice parameters (Å, degrees): 6.654 6.654 5.131 103.24 103.24 64.23
Sites, in units of the cell vectors:
Zn 0.000 0.000 0.000
Ga 0.183 0.183 0.771
Ga 0.185 0.605 0.607
Ga 0.395 0.815 0.393
Ga 0.407 0.407 0.130
Ga 0.593 0.593 0.870
Ga 0.605 0.185 0.607
Ga 0.815 0.395 0.393
Ga 0.817 0.817 0.229
Cu 0.217 0.217 0.294
Cu 0.783 0.783 0.706

First-principles (PBE-GGA) data for a relaxed structure of Li2NiI, as listed in Alexandria via LeMat-Bulk.

Properties
Energy above the lowest structure with this stoichiometry: 0.09 eV per formula unit

Lattice parameters (Å, degrees): 6.526 6.526 6.526 90.00 90.00 90.00
Sites, in units of the cell vectors:
Li 0.250 0.250 0.250
Li 0.250 0.250 0.750
Li 0.250 0.750 0.250
Li 0.250 0.750 0.750
Li 0.750 0.250 0.250
Li 0.750 0.250 0.750
Li 0.750 0.750 0.250
Li 0.750 0.750 0.750
Ni 0.000 0.000 0.000
Ni 0.000 0.500 0.500
Ni 0.500 0.000 0.500
Ni 0.500 0.500 0.000
I 0.000 0.000 0.500
I 0.000 0.500 0.000
I 0.500 0.000 0.000
I 0.500 0.500 0.500

First-principles (PBE-GGA) data for a relaxed structure of KRhS, as listed in Alexandria via LeMat-Bulk.

Lattice parameters (Å, degrees): 3.955 3.955 5.165 90.00 90.00 120.00
Sites, in units of the cell vectors:
K 0.000 0.000 0.000
Rh 0.333 0.667 0.500
S 0.667 0.333 0.500

First-principles (PBE-GGA) data for a relaxed structure of ZnOs5, as listed in Alexandria via LeMat-Bulk.

Properties
Energy of formation from the pure elements: 0.899 eV per atom
Energy above the lowest structure with this stoichiometry: 4.53 eV per formula unit

Lattice parameters (Å, degrees): 5.107 5.107 5.107 60.00 60.00 60.00
Sites, in units of the cell vectors:
Zn 0.000 0.000 0.000
Os 0.125 0.625 0.625
Os 0.250 0.250 0.250
Os 0.625 0.125 0.625
Os 0.625 0.625 0.125
Os 0.625 0.625 0.625

First-principles (PBE-GGA) data for a relaxed structure of YSc2Au, as listed in Alexandria via LeMat-Bulk.

Properties
Energy of formation from the pure elements: -0.364 eV per atom
Energy above the lowest structure with this stoichiometry: 0.23 eV per formula unit

Lattice parameters (Å, degrees): 3.561 3.561 7.550 90.00 90.00 90.00
Sites, in units of the cell vectors:
Y 0.000 0.000 0.000
Sc 0.000 0.000 0.446
Sc 0.500 0.500 0.702
Au 0.500 0.500 0.248

First-principles (PBE-GGA) data for a relaxed structure of Dy2MgCl8, as listed in Alexandria via LeMat-Bulk.

Lattice parameters (Å, degrees): 8.353 8.353 6.568 92.44 92.44 90.72
Sites, in units of the cell vectors:
Dy 0.210 0.210 0.118
Dy 0.790 0.790 0.882
Mg 0.000 0.000 0.500
Cl 0.059 0.760 0.717
Cl 0.184 0.184 0.729
Cl 0.240 0.941 0.283
Cl 0.410 0.410 0.239
Cl 0.590 0.590 0.761
Cl 0.760 0.059 0.717
Cl 0.816 0.816 0.271
Cl 0.941 0.240 0.283

First-principles (PBE-GGA) data for a relaxed structure of DyLuTiCd, as listed in Alexandria via LeMat-Bulk.

Properties
Energy of formation from the pure elements: 0.047 eV per atom

Lattice parameters (Å, degrees): 7.333 7.333 7.333 90.00 90.00 90.00
Sites, in units of the cell vectors:
Dy 0.000 0.000 0.000
Dy 0.000 0.500 0.500
Dy 0.500 0.000 0.500
Dy 0.500 0.500 0.000
Lu 0.000 0.000 0.500
Lu 0.000 0.500 0.000
Lu 0.500 0.000 0.000
Lu 0.500 0.500 0.500
Ti 0.250 0.250 0.250
Ti 0.250 0.750 0.750
Ti 0.750 0.250 0.750
Ti 0.750 0.750 0.250
Cd 0.250 0.250 0.750
Cd 0.250 0.750 0.250
Cd 0.750 0.250 0.250
Cd 0.750 0.750 0.750

First-principles (PBE-GGA) data for a relaxed structure of Th3Ga9Tc2, as listed in Alexandria via LeMat-Bulk.

Properties
Energy of formation from the pure elements: -0.464 eV per atom

Lattice parameters (Å, degrees): 8.286 8.286 8.286 149.09 109.70 78.75
Sites, in units of the cell vectors:
Th 0.000 0.000 0.000
Th 0.304 0.304 0.000
Th 0.696 0.696 0.000
Ga 0.015 0.654 0.360
Ga 0.154 0.872 0.282
Ga 0.294 0.654 0.640
Ga 0.410 0.128 0.282
Ga 0.500 0.000 0.500
Ga 0.590 0.872 0.718
Ga 0.706 0.346 0.360
Ga 0.846 0.128 0.718
Ga 0.985 0.346 0.640
Tc 0.322 0.500 0.822
Tc 0.678 0.500 0.178

Number 1: total magnetic moment 0.000 μB/cell, E_tot -5.938 eV per atom. Number 2: total magnetic moment 1.037 μB/cell, E_tot -3.900 eV per atom. Number 3: total magnetic moment 12.231 μB/cell, E_tot -4.002 eV per atom. Number 4: total magnetic moment 0.000 μB/cell, E_tot -5.791 eV per atom. Number 5: total magnetic moment 0.000 μB/cell, E_tot -3.031 eV per atom. Number 6: total magnetic moment 0.000 μB/cell, E_tot -2.749 eV per atom. Number 7: total magnetic moment 0.011 μB/cell, E_tot -4.656 eV per atom. Number 8: total magnetic moment 0.000 μB/cell, E_tot -8.672 eV per atom. Number 9: total magnetic moment 0.390 μB/cell, E_tot -5.965 eV per atom. Number 10: total magnetic moment 0.068 μB/cell, E_tot -4.302 eV per atom. Number 11: total magnetic moment 10.252 μB/cell, E_tot -4.437 eV per atom. Number 12: total magnetic moment 0.000 μB/cell, E_tot -5.481 eV per atom.